First-principles (SCAN) data for LiOs2Au at its PBEsol-relaxed geometry, as listed in Alexandria via LeMat-Bulk.

It has space group P4mm (No. 99), with a = 2.794 Å, b = 2.794 Å, c = 7.301 Å, α = 90.00°, β = 90.00° and γ = 90.00°. The asymmetric unit holds Li at (0.000, 0.000, 0.000), Os at (0.000, 0.000, 0.475), Os at (0.500, 0.500, 0.254) and Au at (0.500, 0.500, 0.765).

As for the formation energy: 0.154 eV per atom. Its energy above the most stable polymorph in this dataset is 0 meV per atom. Its total magnetic moment is 0.0 μB per formula unit.